Entry from Alexandria: a relaxed PmCo2PbO6 crystal (PBE+U).

a = 5.5168 Å, b = 5.5164 Å, c = 5.4061 Å
α = 59.31°, β = 59.32°, γ = 59.99°
Element x y z (fractional)
Co1 0.5146 0.5146 0.4561
Co2 0.0177 0.0177 0.9468
O1 0.6863 0.2660 0.2018
O2 0.7653 0.1857 0.7023
Pm1 0.7661 0.7663 0.7013
O3 0.1856 0.3468 0.7015
Pb1 0.2667 0.2663 0.2007
O4 0.2665 0.8460 0.2014
O5 0.3466 0.7660 0.7016
O6 0.8462 0.6860 0.2018

Output
- space group = R32 (155)
- total energy (Ha/atom) = -0.233